[1]
# Mg2Pb | Alexandria via LeMat-Bulk | PBEsol | relaxed
data_Mg2Pb
_chemical_formula_sum 'Mg8 Pb4'
_symmetry_space_group_name_H-M 'P 1'
_symmetry_Int_Tables_number 1
_cell_length_a 4.449
_cell_length_b 7.641
_cell_length_c 8.701
_cell_angle_alpha 90.00
_cell_angle_beta 90.00
_cell_angle_gamma 90.00
loop_
_symmetry_equiv_pos_as_xyz
'x,y,z'
loop_
_atom_site_label
_atom_site_fract_x
_atom_site_fract_y
_atom_site_fract_z
Mg1 0.250 0.131 0.054
Mg2 0.250 0.543 0.832
Mg3 0.750 0.957 0.332
Pb1 0.250 0.745 0.135
Pb2 0.750 0.755 0.635
Mg4 0.750 0.457 0.168
Mg5 0.750 0.869 0.946
Mg6 0.250 0.043 0.668
Mg7 0.250 0.631 0.446
Pb3 0.250 0.245 0.365
Mg8 0.750 0.369 0.554
Pb4 0.750 0.255 0.865
# formation energy from the elements	-1.77	kcal/mol of atoms
# E	-2.55	eV per atom

---

[2]
# MgPb5 | Alexandria via LeMat-Bulk | PBEsol | relaxed
data_MgPb5
_chemical_formula_sum 'Mg1 Pb5'
_symmetry_space_group_name_H-M 'P 1'
_symmetry_Int_Tables_number 1
_cell_length_a 3.457
_cell_length_b 3.457
_cell_length_c 14.300
_cell_angle_alpha 90.00
_cell_angle_beta 90.00
_cell_angle_gamma 90.00
loop_
_symmetry_equiv_pos_as_xyz
'x,y,z'
loop_
_atom_site_label
_atom_site_fract_x
_atom_site_fract_y
_atom_site_fract_z
Pb1 0.000 0.000 0.500
Pb2 0.000 0.000 0.148
Pb3 0.000 0.000 0.852
Pb4 0.500 0.500 0.326
Mg1 0.500 0.500 0.000
Pb5 0.500 0.500 0.674
# formation energy from the elements	-0.54	kcal/mol of atoms
# distance to the lowest polymorph of the same formula	0.00	kcal/mol of atoms
# E	-3.64	eV per atom

---

[3]
# MgPb5 | Alexandria via LeMat-Bulk | PBEsol | relaxed
data_MgPb5
_chemical_formula_sum 'Mg1 Pb5'
_symmetry_space_group_name_H-M 'P 1'
_symmetry_Int_Tables_number 1
_cell_length_a 5.587
_cell_length_b 5.957
_cell_length_c 5.957
_cell_angle_alpha 120.00
_cell_angle_beta 90.00
_cell_angle_gamma 90.00
loop_
_symmetry_equiv_pos_as_xyz
'x,y,z'
loop_
_atom_site_label
_atom_site_fract_x
_atom_site_fract_y
_atom_site_fract_z
Pb1 0.000 0.000 0.672
Pb2 0.000 0.328 0.328
Pb3 0.500 0.667 0.333
Mg1 0.500 0.000 0.000
Pb4 0.500 0.333 0.667
Pb5 0.000 0.672 0.000
# formation energy from the elements	0.31	kcal/mol of atoms
# distance to the lowest polymorph of the same formula	0.85	kcal/mol of atoms
# E	-3.61	eV per atom

---

Question: Which value of formation energy from the elements does entry 1 give?
Answer: -1.77 kcal/mol of atoms